Record 1
An optimized crystal structure of BeAlCu5, computed with PBE.

Unit cell a=4.9607 b=7.1151 c=5.1000 alpha=90.00 beta=90.00 gamma=90.00
Space group Cmmm (No. 65)
Unique sites:
Be  0.0000  0.0000  0.0000 (multiplicity 2)
Al  0.0000  0.5000  0.5000 (multiplicity 2)
Cu  0.0000  0.5000  0.0000 (multiplicity 2)
Cu  0.2500  0.2500  0.2481 (multiplicity 8)

Computed properties:
The value obtained for the energy of formation is 0.02 eV/atom. As for the crystal system: orthorhombic.

=====

Record 2
An optimized crystal structure of BeAlCu14, computed with PBE.

Unit cell a=8.3258 b=5.2243 c=8.7340 alpha=90.00 beta=90.00 gamma=90.00
Space group Amm2 (No. 38)
Unique sites:
Be  0.0000  0.0000  0.0000 (multiplicity 2)
Al  0.0000  0.0000  0.4981 (multiplicity 2)
Cu  0.0000  0.2478  0.2475 (multiplicity 4)
Cu  0.2459  0.2449  0.0708 (multiplicity 8)
Cu  0.2472  0.0000  0.8223 (multiplicity 4)
Cu  0.2529  0.0000  0.3226 (multiplicity 4)
Cu  0.5000  0.0000  0.1490 (multiplicity 2)
Cu  0.5000  0.0000  0.6481 (multiplicity 2)
Cu  0.5000  0.2481  0.8997 (multiplicity 4)

Computed properties:
The value obtained for the energy of formation is -0.03 eV/atom. As for the crystal system: orthorhombic.

=====

Record 3
An optimized crystal structure of BeAlCu, computed with PBE.

Unit cell a=2.6804 b=2.6804 c=5.8972 alpha=90.00 beta=90.00 gamma=120.00
Space group P3m1 (No. 156)
Unique sites:
Be  0.0000  0.0000  0.0000 (multiplicity 1)
Al  0.3333  0.6667  0.6612 (multiplicity 1)
Cu  0.6667  0.3333  0.3028 (multiplicity 1)

Computed properties:
The calculation puts the energy above the lowest structure with this stoichiometry at 0.196 eV per atom. The value obtained for the energy of formation is 0.07 eV/atom. As for the crystal system: trigonal.

=====

Record 4
An optimized crystal structure of BeAl2Cu12, computed with PBE.

Unit cell a=4.8250 b=4.8250 c=17.0122 alpha=90.00 beta=90.00 gamma=90.00
Space group P4/nbm (No. 125, origin choice 2)
Unique sites:
Be  0.2500  0.7500  0.0000 (multiplicity 2)
Al  0.2500  0.7500  0.2690 (multiplicity 4)
Cu  0.9996  0.0004  0.0856 (multiplicity 8)
Cu  0.0747  0.5747  0.4352 (multiplicity 8)
Cu  0.2500  0.2500  0.1944 (multiplicity 4)
Cu  0.2500  0.2500  0.3327 (multiplicity 4)

Computed properties:
The value obtained for the energy of formation is 0.15 eV/atom. As for the crystal system: tetragonal.